! PBE+U Sr3V2O8, relaxed; values from VASP
&SYSTEM
  ibrav = 0, nat = 13, ntyp = 3
/
ATOMIC_SPECIES
Sr 87.62 Sr.upf
V 50.94 V.upf
O 16.00 O.upf
ATOMIC_POSITIONS angstrom
Sr 0.000 0.000 0.000
Sr 0.000 0.000 4.076
Sr 0.000 0.000 16.174
V 0.000 0.000 8.219
V 0.000 0.000 12.031
O -1.427 -0.824 11.449
O 0.000 -1.648 8.801
O -1.427 0.824 8.801
O 0.000 0.000 6.497
O 0.000 0.000 13.752
O 1.427 -0.824 11.449
O 0.000 1.648 11.449
O 1.427 0.824 8.801
CELL_PARAMETERS angstrom
2.859 1.651 6.750
-2.859 1.651 6.750
0.000 -3.301 6.750
! SG   R-3m
! Final energy   -93.27 eV per formula unit